Entry from Alexandria: a relaxed Mn2BeZn crystal (GGA-PBE).

The value obtained for the density of states at the Fermi level is 0.77 states/eV/atom. The total magnetic moment is 6.252 Bohr magnetons per cell. The calculation puts the total energy at -0.419 Ry per atom. Its distance to the lowest polymorph of the same formula is 3.75 kcal/mol of atoms. The calculation puts the calculated formation energy at 0.14 eV/atom.

The structure belongs to space group Imm2 (No. 44); the cell edges are 2.775, 4.099 and 7.852 Å and the angles 90.00°, 90.00° and 90.00°. The inequivalent atoms are Mn at (0.000, 0.000, 0.000), Mn at (0.000, 0.500, 0.256), Be at (0.000, 0.000, 0.514) and Zn at (0.000, 0.500, 0.773).

Entry from Alexandria: a relaxed MnBeZn crystal (GGA-PBE).

The value obtained for the density of states at the Fermi level is 0.40 states/eV/atom. The total magnetic moment is 4.678 Bohr magnetons per cell. The calculation puts the total energy at -0.345 Ry per atom. Its distance to the lowest polymorph of the same formula is 0.00 kcal/mol of atoms. The calculation puts the calculated formation energy at 0.03 eV/atom.

The structure belongs to space group I4mm (No. 107); the cell edges are 2.671, 2.671 and 9.525 Å and the angles 90.00°, 90.00° and 90.00°. The inequivalent atoms are Mn at (0.000, 0.000, 0.000), Be at (0.000, 0.000, 0.356) and Zn at (0.000, 0.000, 0.693).

Entry from Alexandria: a relaxed Mn2BeZn crystal (GGA-PBE).

The value obtained for the density of states at the Fermi level is 0.51 states/eV/atom. The total magnetic moment is 21.822 Bohr magnetons per cell. The calculation puts the total energy at -0.424 Ry per atom. Its distance to the lowest polymorph of the same formula is 2.27 kcal/mol of atoms. The calculation puts the calculated formation energy at 0.07 eV/atom.

The structure belongs to space group Fm-3m (No. 225); the cell edges are 5.742, 5.742 and 5.742 Å and the angles 90.00°, 90.00° and 90.00°. The inequivalent atoms are Mn at (0.250, 0.250, 0.250), Be at (0.000, 0.000, 0.000) and Zn at (0.000, 0.000, 0.500).

Question: Number 2 is which compound?
Answer: MnBeZn